# 1
Crystalline Tl at its relaxed geometry, computed with PBE.

CIF file:
```
data_Tl
_chemical_formula_sum 'Tl16'
_space_group_name_H-M_alt 'I -4 3 m'
_space_group_IT_number 217
_space_group_name_Hall 'I -4 2 3'
_cell_length_a 9.7287
_cell_length_b 9.7287
_cell_length_c 9.7287
_cell_angle_alpha 90.00
_cell_angle_beta 90.00
_cell_angle_gamma 90.00
loop_
_atom_site_label
_atom_site_type_symbol
_atom_site_fract_x
_atom_site_fract_y
_atom_site_fract_z
Tl1 Tl 0.1253 0.1253 0.8747
Tl2 Tl 0.1905 0.1905 0.1905
```

Properties
Magnetization   0.00 Bohr magnetons per cell
Excess energy over the best structure of this formula in the dataset   0.345 eV per atom
ΔE_f   345 meV per atom
E   -2.02 eV/atom



# 2
Crystalline HfZrSb at its relaxed geometry, computed with PBE.

CIF file:
```
data_HfZrSb
_chemical_formula_sum 'Hf1 Zr1 Sb1'
_space_group_name_H-M_alt 'P 3 m 1'
_space_group_IT_number 156
_cell_length_a 5.0302
_cell_length_b 5.0302
_cell_length_c 3.1462
_cell_angle_alpha 90.00
_cell_angle_beta 90.00
_cell_angle_gamma 120.00
loop_
_space_group_symop_operation_xyz
'x,y,z'
'-y,x-y,z'
'-x+y,-x,z'
'-y,-x,z'
'-x+y,y,z'
'x,x-y,z'
loop_
_atom_site_label
_atom_site_type_symbol
_atom_site_fract_x
_atom_site_fract_y
_atom_site_fract_z
Hf1 Hf 0.0000 0.0000 0.0000
Zr1 Zr 0.6667 0.3333 0.4626
Sb1 Sb 0.3333 0.6667 0.7652
```

Properties
Magnetization   0.76 Bohr magnetons per cell
E_form (uncorrected)   -82 meV per atom
E   -7.62 eV/atom



# 3
Crystalline Pm2HPt at its relaxed geometry, computed with PBE.

CIF file:
```
data_Pm2HPt
_chemical_formula_sum 'Pm8 H4 Pt4'
_space_group_name_H-M_alt 'P 1 2/c 1'
_space_group_IT_number 13
_cell_length_a 6.0611
_cell_length_b 5.6517
_cell_length_c 11.6993
_cell_angle_alpha 90.00
_cell_angle_beta 117.59
_cell_angle_gamma 90.00
loop_
_space_group_symop_operation_xyz
'x,y,z'
'-x,-y,-z'
'-x,y,-z+1/2'
'x,-y,z+1/2'
loop_
_atom_site_label
_atom_site_type_symbol
_atom_site_fract_x
_atom_site_fract_y
_atom_site_fract_z
Pm1 Pm 0.0299 0.2383 0.1020
Pm2 Pm 0.3456 0.2397 0.8642
H1 H 0.0348 0.1944 0.6240
Pt1 Pt 0.4341 0.2605 0.3563
```

Properties
Magnetization   0.00 Bohr magnetons per cell
Excess energy over the best structure of this formula in the dataset   0.002 eV per atom
E   -5.40 eV/atom



# 4
Crystalline TbCd4Ag at its relaxed geometry, computed with PBE.

CIF file:
```
data_TbCd4Ag
_chemical_formula_sum 'Tb2 Cd8 Ag2'
_space_group_name_H-M_alt 'C 1 2/m 1'
_space_group_IT_number 12
_cell_length_a 8.9361
_cell_length_b 4.9290
_cell_length_c 6.3266
_cell_angle_alpha 90.00
_cell_angle_beta 99.92
_cell_angle_gamma 90.00
loop_
_space_group_symop_operation_xyz
'x,y,z'
'-x,-y,-z'
'-x,y,-z'
'x,-y,z'
'x+1/2,y+1/2,z'
'-x+1/2,-y+1/2,-z'
'-x+1/2,y+1/2,-z'
'x+1/2,-y+1/2,z'
loop_
_atom_site_label
_atom_site_type_symbol
_atom_site_fract_x
_atom_site_fract_y
_atom_site_fract_z
Tb1 Tb 0.0000 0.0000 0.0000
Cd1 Cd 0.1329 0.5000 0.7414
Cd2 Cd 0.1927 0.5000 0.2597
Ag1 Ag 0.0000 0.0000 0.5000
```

Properties
Magnetization   0.00 Bohr magnetons per cell
Excess energy over the best structure of this formula in the dataset   0.000 eV per atom
ΔE_f   -182 meV per atom
E   -2.04 eV/atom



# 5
Crystalline CsLiSc2Be at its relaxed geometry, computed with PBE.

CIF file:
```
data_CsLiSc2Be
_chemical_formula_sum 'Cs1 Li1 Sc2 Be1'
_space_group_name_H-M_alt 'P 4/m m m'
_space_group_IT_number 123
_space_group_name_Hall '-P 4 2'
_cell_length_a 5.1133
_cell_length_b 5.1133
_cell_length_c 5.4723
_cell_angle_alpha 90.00
_cell_angle_beta 90.00
_cell_angle_gamma 90.00
loop_
_atom_site_label
_atom_site_type_symbol
_atom_site_fract_x
_atom_site_fract_y
_atom_site_fract_z
Cs1 Cs 0.0000 0.0000 0.0000
Li1 Li 0.5000 0.5000 0.0000
Sc1 Sc 0.0000 0.5000 0.5000
Be1 Be 0.5000 0.5000 0.5000
```

Properties
Magnetization   0.00 Bohr magnetons per cell
ΔE_f   628 meV per atom
E   -3.20 eV/atom



# 6
Crystalline Mg3Os at its relaxed geometry, computed with PBE.

CIF file:
```
data_Mg3Os
_chemical_formula_sum 'Mg3 Os1'
_space_group_name_H-M_alt 'P 1 2/m 1'
_space_group_IT_number 10
_cell_length_a 2.7774
_cell_length_b 4.5916
_cell_length_c 5.5664
_cell_angle_alpha 90.00
_cell_angle_beta 101.39
_cell_angle_gamma 90.00
loop_
_space_group_symop_operation_xyz
'x,y,z'
'-x,-y,-z'
'-x,y,-z'
'x,-y,z'
loop_
_atom_site_label
_atom_site_type_symbol
_atom_site_fract_x
_atom_site_fract_y
_atom_site_fract_z
Mg1 Mg 0.0000 0.0000 0.0000
Mg2 Mg 0.2547 0.5000 0.7311
Os1 Os 0.5000 0.0000 0.5000
```

Properties
Magnetization   0.00 Bohr magnetons per cell
ΔE_f   163 meV per atom
E   -3.84 eV/atom



# 7
Crystalline BeSb2Ir at its relaxed geometry, computed with PBE.

CIF file:
```
data_BeSb2Ir
_chemical_formula_sum 'Be2 Sb4 Ir2'
_space_group_name_H-M_alt 'C 1 2/m 1'
_space_group_IT_number 12
_cell_length_a 5.7799
_cell_length_b 7.3281
_cell_length_c 3.6213
_cell_angle_alpha 90.00
_cell_angle_beta 101.23
_cell_angle_gamma 90.00
loop_
_space_group_symop_operation_xyz
'x,y,z'
'-x,-y,-z'
'-x,y,-z'
'x,-y,z'
'x+1/2,y+1/2,z'
'-x+1/2,-y+1/2,-z'
'-x+1/2,y+1/2,-z'
'x+1/2,-y+1/2,z'
loop_
_atom_site_label
_atom_site_type_symbol
_atom_site_fract_x
_atom_site_fract_y
_atom_site_fract_z
Be1 Be 0.0000 0.0000 0.0000
Sb1 Sb 0.2500 0.2500 0.5000
Ir1 Ir 0.0000 0.5000 0.0000
```

Properties
Magnetization   0.00 Bohr magnetons per cell
E_form (uncorrected)   460 meV per atom
E   -4.75 eV/atom



# 8
Crystalline CaY12Er6 at its relaxed geometry, computed with PBE.

CIF file:
```
data_CaY12Er6
_chemical_formula_sum 'Ca3 Y36 Er18'
_space_group_name_H-M_alt 'R -3'
_space_group_IT_number 148
_space_group_name_Hall '-R 3'
_cell_length_a 15.5480
_cell_length_b 15.5480
_cell_length_c 8.7356
_cell_angle_alpha 90.00
_cell_angle_beta 90.00
_cell_angle_gamma 120.00
loop_
_atom_site_label
_atom_site_type_symbol
_atom_site_fract_x
_atom_site_fract_y
_atom_site_fract_z
Ca1 Ca 0.0000 0.0000 0.0000
Y1 Y 0.0170 0.8748 0.6616
Y2 Y 0.0657 0.5052 0.6676
Er1 Er 0.0347 0.7541 0.3297
```

Properties
Magnetization   0.00 Bohr magnetons per cell
ΔE_f   43 meV per atom
E   -5.59 eV/atom



# 9
Crystalline MgZr2In at its relaxed geometry, computed with PBE.

CIF file:
```
data_MgZr2In
_chemical_formula_sum 'Mg1 Zr2 In1'
_space_group_name_H-M_alt 'P 1'
_space_group_IT_number 1
_cell_length_a 3.1389
_cell_length_b 3.1444
_cell_length_c 10.8588
_cell_angle_alpha 90.00
_cell_angle_beta 98.20
_cell_angle_gamma 119.94
loop_
_space_group_symop_operation_xyz
'x,y,z'
loop_
_atom_site_label
_atom_site_type_symbol
_atom_site_fract_x
_atom_site_fract_y
_atom_site_fract_z
Mg1 Mg 0.0000 0.0000 0.0000
Zr1 Zr 0.1630 0.5826 0.7457
Zr2 Zr 0.5009 0.7463 0.2542
In1 In 0.3322 0.1638 0.5000
```

Properties
Magnetization   0.00 Bohr magnetons per cell
ΔE_f   -21 meV per atom
E   -5.38 eV/atom



# 10
Crystalline Tl2CrRh at its relaxed geometry, computed with PBE.

CIF file:
```
data_Tl2CrRh
_chemical_formula_sum 'Tl4 Cr2 Rh2'
_space_group_name_H-M_alt 'C m m m'
_space_group_IT_number 65
_space_group_name_Hall '-C 2 2'
_cell_length_a 6.3037
_cell_length_b 7.4321
_cell_length_c 3.2786
_cell_angle_alpha 90.00
_cell_angle_beta 90.00
_cell_angle_gamma 90.00
loop_
_atom_site_label
_atom_site_type_symbol
_atom_site_fract_x
_atom_site_fract_y
_atom_site_fract_z
Tl1 Tl 0.2500 0.2500 0.0000
Cr1 Cr 0.0000 0.0000 0.5000
Rh1 Rh 0.0000 0.5000 0.5000
```

Properties
Magnetization   7.41 Bohr magnetons per cell
Excess energy over the best structure of this formula in the dataset   0.125 eV per atom
ΔE_f   415 meV per atom
E   -5.01 eV/atom



# 11
Crystalline TmThW4 at its relaxed geometry, computed with PBE.

CIF file:
```
data_TmThW4
_chemical_formula_sum 'Tm4 Th4 W16'
_space_group_name_H-M_alt 'F -4 3 m'
_space_group_IT_number 216
_space_group_name_Hall 'F -4 2 3'
_cell_length_a 7.8802
_cell_length_b 7.8802
_cell_length_c 7.8802
_cell_angle_alpha 90.00
_cell_angle_beta 90.00
_cell_angle_gamma 90.00
loop_
_atom_site_label
_atom_site_type_symbol
_atom_site_fract_x
_atom_site_fract_y
_atom_site_fract_z
Tm1 Tm 0.0000 0.0000 0.0000
Th1 Th 0.2500 0.2500 0.2500
W1 W 0.1248 0.1248 0.6248
```

Properties
Magnetization   0.00 Bohr magnetons per cell
ΔE_f   116 meV per atom
E   -10.50 eV/atom



# 12
Crystalline ScInAg2 at its relaxed geometry, computed with PBE.

CIF file:
```
data_ScInAg2
_chemical_formula_sum 'Sc2 In2 Ag4'
_space_group_name_H-M_alt 'C 1 2/m 1'
_space_group_IT_number 12
_cell_length_a 9.7295
_cell_length_b 3.2368
_cell_length_c 5.2752
_cell_angle_alpha 90.00
_cell_angle_beta 100.07
_cell_angle_gamma 90.00
loop_
_space_group_symop_operation_xyz
'x,y,z'
'-x,-y,-z'
'-x,y,-z'
'x,-y,z'
'x+1/2,y+1/2,z'
'-x+1/2,-y+1/2,-z'
'-x+1/2,y+1/2,-z'
'x+1/2,-y+1/2,z'
loop_
_atom_site_label
_atom_site_type_symbol
_atom_site_fract_x
_atom_site_fract_y
_atom_site_fract_z
Sc1 Sc 0.0000 0.0000 0.0000
In1 In 0.0000 0.5000 0.5000
Ag1 Ag 0.2471 0.5000 0.2398
```

Properties
Magnetization   0.00 Bohr magnetons per cell
ΔE_f   -187 meV per atom
E   -3.88 eV/atom



# 13
Crystalline EuSiPt2 at its relaxed geometry, computed with PBE.

CIF file:
```
data_EuSiPt2
_chemical_formula_sum 'Eu3 Si3 Pt6'
_space_group_name_H-M_alt 'R -3 m'
_space_group_IT_number 166
_space_group_name_Hall '-R 3 2"'
_cell_length_a 4.2262
_cell_length_b 4.2262
_cell_length_c 15.8827
_cell_angle_alpha 90.00
_cell_angle_beta 90.00
_cell_angle_gamma 120.00
loop_
_atom_site_label
_atom_site_type_symbol
_atom_site_fract_x
_atom_site_fract_y
_atom_site_fract_z
Eu1 Eu 0.0000 0.0000 0.0000
Si1 Si 0.0000 0.0000 0.5000
Pt1 Pt 0.0000 0.0000 0.2054
```

Properties
Magnetization   20.47 Bohr magnetons per cell
E_form (uncorrected)   -876 meV per atom
E   -7.82 eV/atom



# 14
Crystalline In2Ga2Cu at its relaxed geometry, computed with PBE.

CIF file:
```
data_In2Ga2Cu
_chemical_formula_sum 'In4 Ga4 Cu2'
_space_group_name_H-M_alt 'P 4/m b m'
_space_group_IT_number 127
_space_group_name_Hall '-P 4 2ab'
_cell_length_a 6.5131
_cell_length_b 6.5131
_cell_length_c 5.0058
_cell_angle_alpha 90.00
_cell_angle_beta 90.00
_cell_angle_gamma 90.00
loop_
_atom_site_label
_atom_site_type_symbol
_atom_site_fract_x
_atom_site_fract_y
_atom_site_fract_z
In1 In 0.1775 0.3225 0.0000
Ga1 Ga 0.1452 0.6452 0.5000
Cu1 Cu 0.0000 0.0000 0.5000
```

Properties
Magnetization   0.00 Bohr magnetons per cell
Excess energy over the best structure of this formula in the dataset   0.000 eV per atom
ΔE_f   77 meV per atom
E   -3.05 eV/atom



# 15
Crystalline Ti6Nb3Au at its relaxed geometry, computed with PBE.

CIF file:
```
data_Ti6Nb3Au
_chemical_formula_sum 'Ti12 Nb6 Au2'
_space_group_name_H-M_alt 'P 1 21/m 1'
_space_group_IT_number 11
_cell_length_a 7.9512
_cell_length_b 4.6081
_cell_length_c 9.8611
_cell_angle_alpha 90.00
_cell_angle_beta 106.73
_cell_angle_gamma 90.00
loop_
_space_group_symop_operation_xyz
'x,y,z'
'-x,-y,-z'
'-x,y+1/2,-z'
'x,-y+1/2,z'
loop_
_atom_site_label
_atom_site_type_symbol
_atom_site_fract_x
_atom_site_fract_y
_atom_site_fract_z
Ti1 Ti 0.0438 0.2500 0.4029
Ti2 Ti 0.1375 0.7500 0.1951
Ti3 Ti 0.2458 0.2500 0.9934
Ti4 Ti 0.3401 0.2500 0.3067
Ti5 Ti 0.3459 0.7500 0.7970
Ti6 Ti 0.4436 0.2500 0.6046
Nb1 Nb 0.0388 0.7500 0.8940
Nb2 Nb 0.1525 0.2500 0.7017
Nb3 Nb 0.2652 0.7500 0.4980
Au1 Au 0.4409 0.7500 0.1047
```

Properties
Magnetization   0.00 Bohr magnetons per cell
ΔE_f   -81 meV per atom
E   -8.17 eV/atom



# 16
Crystalline MgSn2Ru at its relaxed geometry, computed with PBE.

CIF file:
```
data_MgSn2Ru
_chemical_formula_sum 'Mg3 Sn6 Ru3'
_space_group_name_H-M_alt 'R 3 m'
_space_group_IT_number 160
_space_group_name_Hall 'R 3 -2"'
_cell_length_a 4.4604
_cell_length_b 4.4604
_cell_length_c 15.1028
_cell_angle_alpha 90.00
_cell_angle_beta 90.00
_cell_angle_gamma 120.00
loop_
_atom_site_label
_atom_site_type_symbol
_atom_site_fract_x
_atom_site_fract_y
_atom_site_fract_z
Mg1 Mg 0.0000 0.0000 0.0000
Sn1 Sn 0.0000 0.0000 0.2219
Sn2 Sn 0.0000 0.0000 0.4309
Ru1 Ru 0.0000 0.0000 0.8173
```

Properties
Magnetization   0.00 Bohr magnetons per cell
ΔE_f   -91 meV per atom
E   -4.81 eV/atom



# 17
Crystalline LiY2Tc at its relaxed geometry, computed with PBE.

CIF file:
```
data_LiY2Tc
_chemical_formula_sum 'Li2 Y4 Tc2'
_space_group_name_H-M_alt 'C m m m'
_space_group_IT_number 65
_space_group_name_Hall '-C 2 2'
_cell_length_a 6.9661
_cell_length_b 6.9820
_cell_length_c 3.5731
_cell_angle_alpha 90.00
_cell_angle_beta 90.00
_cell_angle_gamma 90.00
loop_
_atom_site_label
_atom_site_type_symbol
_atom_site_fract_x
_atom_site_fract_y
_atom_site_fract_z
Li1 Li 0.0000 0.0000 0.0000
Y1 Y 0.2500 0.2500 0.5000
Tc1 Tc 0.0000 0.5000 0.0000
```

Properties
Magnetization   0.00 Bohr magnetons per cell
ΔE_f   95 meV per atom
E   -6.21 eV/atom



# 18
Crystalline IrRh2 at its relaxed geometry, computed with PBE.

CIF file:
```
data_IrRh2
_chemical_formula_sum 'Ir4 Rh8'
_space_group_name_H-M_alt 'P n m a'
_space_group_IT_number 62
_cell_length_a 5.4504
_cell_length_b 3.8419
_cell_length_c 8.1880
_cell_angle_alpha 90.00
_cell_angle_beta 90.00
_cell_angle_gamma 90.00
loop_
_space_group_symop_operation_xyz
'x,y,z'
'-x,-y,-z'
'-x+1/2,-y,z+1/2'
'x+1/2,y,-z+1/2'
'x+1/2,-y+1/2,-z+1/2'
'-x+1/2,y+1/2,z+1/2'
'-x,y+1/2,-z'
'x,-y+1/2,z'
loop_
_atom_site_label
_atom_site_type_symbol
_atom_site_fract_x
_atom_site_fract_y
_atom_site_fract_z
Ir1 Ir 0.1241 0.2500 0.0809
Rh1 Rh 0.1251 0.2500 0.4157
Rh2 Rh 0.1256 0.2500 0.7522
```

Properties
Magnetization   0.00 Bohr magnetons per cell
Excess energy over the best structure of this formula in the dataset   0.012 eV per atom
ΔE_f   -2 meV per atom
E   -7.86 eV/atom



# 19
Crystalline CdCuAg at its relaxed geometry, computed with PBE.

CIF file:
```
data_CdCuAg
_chemical_formula_sum 'Cd4 Cu4 Ag4'
_space_group_name_H-M_alt 'F -4 3 m'
_space_group_IT_number 216
_space_group_name_Hall 'F -4 2 3'
_cell_length_a 6.1894
_cell_length_b 6.1894
_cell_length_c 6.1894
_cell_angle_alpha 90.00
_cell_angle_beta 90.00
_cell_angle_gamma 90.00
loop_
_atom_site_label
_atom_site_type_symbol
_atom_site_fract_x
_atom_site_fract_y
_atom_site_fract_z
Cd1 Cd 0.0000 0.0000 0.0000
Cu1 Cu 0.2500 0.2500 0.2500
Ag1 Ag 0.0000 0.0000 0.5000
```

Properties
Magnetization   0.00 Bohr magnetons per cell
Excess energy over the best structure of this formula in the dataset   0.142 eV per atom
ΔE_f   185 meV per atom
E   -2.44 eV/atom



# 20
Crystalline FeCoIr2 at its relaxed geometry, computed with PBE.

CIF file:
```
data_FeCoIr2
_chemical_formula_sum 'Fe3 Co3 Ir6'
_space_group_name_H-M_alt 'R -3 m'
_space_group_IT_number 166
_space_group_name_Hall '-R 3 2"'
_cell_length_a 2.6876
_cell_length_b 2.6876
_cell_length_c 25.3135
_cell_angle_alpha 90.00
_cell_angle_beta 90.00
_cell_angle_gamma 120.00
loop_
_atom_site_label
_atom_site_type_symbol
_atom_site_fract_x
_atom_site_fract_y
_atom_site_fract_z
Fe1 Fe 0.0000 0.0000 0.0000
Co1 Co 0.0000 0.0000 0.5000
Ir1 Ir 0.0000 0.0000 0.2495
```

Properties
Magnetization   13.01 Bohr magnetons per cell
ΔE_f   38 meV per atom
E   -8.28 eV/atom